# Fe8O9, relaxed, DFT GGA+U
data_Fe8O9
_chemical_formula_sum 'Fe16 O18'
_symmetry_space_group_name_H-M 'P 1'
_symmetry_Int_Tables_number 1
_cell_length_a 6.193
_cell_length_b 6.870
_cell_length_c 9.247
_cell_angle_alpha 102.77
_cell_angle_beta 90.37
_cell_angle_gamma 103.00
loop_
_symmetry_equiv_pos_as_xyz
'x,y,z'
loop_
_atom_site_label
_atom_site_type_symbol
_atom_site_fract_x
_atom_site_fract_y
_atom_site_fract_z
Fe1 Fe 0.498 0.995 0.998
Fe2 Fe 0.836 0.324 0.890
Fe3 Fe 0.167 0.667 0.778
Fe4 Fe 0.497 0.009 0.666
Fe5 Fe 0.331 0.330 0.888
Fe6 Fe 0.662 0.659 0.447
Fe7 Fe 0.667 0.667 0.778
Fe8 Fe 0.835 0.338 0.558
Fe9 Fe 0.003 0.004 0.668
Fe10 Fe 0.178 0.651 0.446
Fe11 Fe 0.503 0.006 0.339
Fe12 Fe 0.831 0.328 0.217
Fe13 Fe 0.009 0.003 0.337
Fe14 Fe 0.156 0.682 0.110
Fe15 Fe 0.325 0.330 0.218
Fe16 Fe 0.671 0.675 0.109
O1 O 0.890 0.636 0.940
O2 O 0.273 0.010 0.818
O3 O 0.403 0.656 0.937
O4 O 0.605 0.322 0.728
O5 O 0.728 0.011 0.828
O6 O 0.930 0.678 0.618
O7 O 0.060 0.323 0.737
O8 O 0.260 0.977 0.489
O9 O 0.443 0.697 0.616
O10 O 0.590 0.322 0.367
O11 O 0.734 0.005 0.500
O12 O 0.904 0.655 0.283
O13 O 0.057 0.336 0.378
O14 O 0.276 0.997 0.178
O15 O 0.429 0.678 0.273
O16 O 0.599 0.329 0.056
O17 O 0.744 0.012 0.189
O18 O 0.073 0.356 0.067
# **DFT total energy**: -6.656 eV per atom
# **Size of the total moment**: 34.0 μB per formula unit
# **Space-group type**: P-1, No. 2